1.
Below is Pr3ZrGe6 after structural relaxation, with properties calculated at the PBE level.

Values from the calculation:
* spin magnetization: 0.00 μB per formula unit
* calculated total energy: -5.724 eV per atom
* energy relative to the elements: -0.665 eV/atom
* V: 22.97 Å³ per atom

Lattice parameters (Å, degrees): 11.7017 11.7017 11.6236 90.00 90.00 120.00
Space group R-3c (No. 167, hexagonal axes)
One atom of each set of equivalent atoms:
Pr (0.0000, 0.4319, 0.2500) [18 per cell]
Zr (0.0000, 0.0000, 0.0000) [6 per cell]
Ge (0.0673, 0.2106, 0.3424) [36 per cell]

---

2.
Below is ScIn3Co after structural relaxation, with properties calculated at the PBE level.

Values from the calculation:
* spin magnetization: 0.00 μB per formula unit
* calculated total energy: -4.244 eV per atom
* energy relative to the elements: 0.086 eV/atom
* V: 23.00 Å³ per atom

Lattice parameters (Å, degrees): 4.863 4.863 4.863 90.00 90.00 90.00
Space group Pm-3m (No. 221)
One atom of each set of equivalent atoms:
Sc (0.000, 0.000, 0.000) [1 per cell]
In (0.000, 0.500, 0.500) [3 per cell]
Co (0.500, 0.500, 0.500) [1 per cell]

---

3.
Below is LiDy4Hg3 after structural relaxation, with properties calculated at the PBE level.

Values from the calculation:
* spin magnetization: 0.00 μB per formula unit
* calculated total energy: -3.014 eV per atom
* energy relative to the elements: -0.361 eV/atom
* V: 25.46 Å³ per atom

Lattice parameters (Å, degrees): 5.253 5.253 14.762 90.00 90.00 90.00
Space group I4/mmm (No. 139)
One atom of each set of equivalent atoms:
Li (0.000, 0.000, 0.000) [2 per cell]
Dy (0.000, 0.500, 0.125) [8 per cell]
Hg (0.000, 0.000, 0.246) [4 per cell]
Hg (0.000, 0.000, 0.500) [2 per cell]

---

4.
Below is NdDy4Er5 after structural relaxation, with properties calculated at the PBE level.

Values from the calculation:
* excess energy over the best structure of this formula in the dataset: 0.0000 eV/atom
* spin magnetization: 0.00 μB per formula unit
* calculated total energy: -4.538 eV per atom
* energy relative to the elements: 0.061 eV/atom
* V: 31.64 Å³ per atom

Lattice parameters (Å, degrees): 3.541 6.649 14.061 98.53 93.10 103.97
Space group P-1 (No. 2)
One atom of each set of equivalent atoms:
Nd (0.000, 0.000, 0.000) [1 per cell]
Dy (0.116, 0.809, 0.218) [2 per cell]
Dy (0.191, 0.727, 0.804) [2 per cell]
Er (0.205, 0.881, 0.583) [2 per cell]
Er (0.490, 0.427, 0.613) [2 per cell]
Er (0.500, 0.500, 0.000) [1 per cell]

---

5.
Below is TbMgZr2 after structural relaxation, with properties calculated at the PBE level.

Values from the calculation:
* excess energy over the best structure of this formula in the dataset: 0.0387 eV/atom
* spin magnetization: 0.00 μB per formula unit
* calculated total energy: -5.700 eV per atom
* energy relative to the elements: 0.131 eV/atom
* V: 24.85 Å³ per atom

Lattice parameters (Å, degrees): 3.2500 3.2500 32.6099 90.00 90.00 120.00
Space group R3m (No. 160, hexagonal axes)
One atom of each set of equivalent atoms:
Tb (0.0000, 0.0000, 0.0000) [3 per cell]
Mg (0.0000, 0.0000, 0.1664) [3 per cell]
Zr (0.0000, 0.0000, 0.5818) [3 per cell]
Zr (0.0000, 0.0000, 0.7517) [3 per cell]

---

6.
Below is HfCr2Cl after structural relaxation, with properties calculated at the PBE level.

Values from the calculation:
* excess energy over the best structure of this formula in the dataset: 0.0000 eV/atom
* raw formation energy: 0.59 eV per atom
* spin magnetization: 4.23 μB per formula unit
* calculated total energy: -7.169 eV per atom
* V: 16.32 Å³ per atom

Lattice parameters (Å, degrees): 7.130 7.130 5.135 90.00 90.00 90.00
Space group I-42d (No. 122)
One atom of each set of equivalent atoms:
Hf (0.000, 0.000, 0.000) [4 per cell]
Cr (0.170, 0.250, 0.625) [8 per cell]
Cl (0.000, 0.000, 0.500) [4 per cell]

---

Number 2 is which compound? ScIn3Co